[1]
## P5WO15 (PBEsol)

Data for an optimized crystal structure of P5WO15.

Cell: 5.2581 13.8405 8.4418 Å, 90.00 103.10 90.00°
With the nearest neighbours (Å) after each atom.
Space group P2_1/m (No. 11)
Asymmetric unit:
P  0.0094  0.1425  0.0194  4 O 1.52-1.58
P  0.3473  0.0816  0.3396  3 O 1.45-1.61
P  0.4568  0.2500  0.5399  2 O 1.47
W  0.5000  0.0000  0.0000  6 O 1.87-2.02
O  0.0410  0.2500  0.9647  2 P 1.58
O  0.1228  0.1422  0.2058  2 P 1.55-1.66
O  0.1699  0.2500  0.5134  1 P 1.47
O  0.1724  0.0789  0.9333  1 P 1.52
O  0.2232  0.0127  0.4281  1 P 1.45
O  0.2784  0.6168  0.0180  1 P 1.52
O  0.3467  0.7500  0.3060  1 P 1.47
O  0.4624  0.6616  0.5801  2 P 1.54-1.70
O  0.4997  0.0346  0.2138  1 P 1.61

Results
Its uncorrected formation energy is -1930 meV/atom. The electronic total energy comes out at -7.72 eV/atom. The value obtained for the density of states at the Fermi level is 0.43 states/eV/f.u.

***

[2]
## P3W2O12 (PBEsol)

Data for an optimized crystal structure of P3W2O12.

Cell: 8.7262 8.7539 14.9553 Å, 90.00 125.67 90.00°
With the nearest neighbours (Å) after each atom.
Space group P2_1/c (No. 14)
Asymmetric unit:
P  0.0325  0.2500  0.0002  4 O 1.53-1.54
P  0.2480  0.6106  0.3548  4 O 1.53-1.54
P  0.4619  0.1106  0.3549  4 O 1.53-1.54
W  0.1328  0.5345  0.8831  6 O 1.96-1.98
W  0.3667  0.5346  0.6169  6 O 1.96-1.98
O  0.0130  0.1589  0.5809  1 P 1.54
O  0.0658  0.1461  0.4310  1 P 1.53
O  0.0887  0.5063  0.2677  1 P 1.53
O  0.1480  0.6583  0.5800  1 P 1.54
O  0.1901  0.7200  0.8324  1 P 1.54
O  0.2046  0.1464  0.0689  1 P 1.53
O  0.2856  0.0917  0.3532  1 P 1.53
O  0.2952  0.5641  0.4670  1 P 1.53
O  0.3600  0.5641  0.0333  1 P 1.53
O  0.4197  0.5911  0.3520  1 P 1.53
O  0.4450  0.0056  0.2674  1 P 1.53
O  0.4749  0.2203  0.8320  1 P 1.54

Results
For the polymorph energy (0 for the lowest one), the calculation gives 6 meV per atom. Its uncorrected formation energy is -2060 meV/atom. The electronic total energy comes out at -8.41 eV/atom. The value obtained for the density of states at the Fermi level is 4.64 states/eV/f.u.

***

[3]
## P2W2O11 (PBEsol)

Data for an optimized crystal structure of P2W2O11.

Cell: 7.8625 12.5866 7.8991 Å, 90.00 92.49 90.00°
With the nearest neighbours (Å) after each atom.
Space group P2_1/m (No. 11)
Asymmetric unit:
P  0.0723  0.2500  0.3443  4 O 1.51-1.55
P  0.2494  0.7500  0.1049  4 O 1.51-1.56
P  0.2516  0.0038  0.6154  4 O 1.50-1.56
W  0.1514  0.0026  0.1917  2 O 1.71-1.88
W  0.3626  0.2500  0.6932  1 O 1.71
W  0.3639  0.7500  0.6940  2 O 1.71-1.79
O  0.0000  0.0000  0.0000  2 W 1.88
O  0.0747  0.0257  0.6719  1 P 1.50
O  0.1045  0.1512  0.2336  1 P 1.55
O  0.1054  0.7500  0.5905  1 P 1.51
O  0.1669  0.6524  0.1854  1 P 1.54
O  0.2070  0.2500  0.4921  1 P 1.54
O  0.2082  0.2500  0.8390  1 W 1.71
O  0.2229  0.7500  0.9141  1 P 1.51
O  0.2583  0.5056  0.4204  1 P 1.55
O  0.3332  0.5953  0.6973  1 P 1.53
O  0.3341  0.0246  0.0881  1 W 1.71
O  0.3737  0.0975  0.6650  1 P 1.56
O  0.4421  0.7500  0.4848  1 W 1.79
O  0.4440  0.7500  0.1510  1 P 1.56
O  0.4496  0.2500  0.1859  1 W 1.71

Results
For the polymorph energy (0 for the lowest one), the calculation gives 9 meV per atom. Its uncorrected formation energy is -2125 meV/atom. The electronic total energy comes out at -8.59 eV/atom. The value obtained for the density of states at the Fermi level is 0.00 states/eV/f.u.

***

[4]
## P3W2O13 (PBEsol)

Data for an optimized crystal structure of P3W2O13.

Cell: 6.3505 6.9705 12.3657 Å, 81.48 87.09 76.88°
With the nearest neighbours (Å) after each atom.
Space group P-1 (No. 2)
Asymmetric unit:
P  0.1328  0.3841  0.3507  4 O 1.51-1.61
P  0.2631  0.9845  0.8770  4 O 1.53-1.54
P  0.2775  0.7510  0.3102  4 O 1.51-1.60
W  0.1977  0.1803  0.1225  1 O 1.70
W  0.2370  0.1912  0.6195  1 O 1.70
O  0.0770  0.8145  0.3823  1 P 1.54
O  0.0955  0.4939  0.6436  1 P 1.51
O  0.1012  0.8523  0.8748  1 P 1.53
O  0.1484  0.4287  0.0776  1 W 1.70
O  0.1639  0.2172  0.2802  1 P 1.53
O  0.2236  0.1572  0.7819  1 P 1.54
O  0.2258  0.2946  0.4633  1 P 1.53
O  0.2412  0.0743  0.9837  1 P 1.53
O  0.2726  0.8712  0.1982  1 P 1.51
O  0.2877  0.5249  0.2943  2 P 1.60-1.61
O  0.3210  0.9442  0.6093  1 W 1.70
O  0.4798  0.7416  0.3752  1 P 1.53
O  0.4882  0.8497  0.8681  1 P 1.53

Results
Its uncorrected formation energy is -2102 meV/atom. The electronic total energy comes out at -8.39 eV/atom. The value obtained for the density of states at the Fermi level is 4.32 states/eV/f.u.

***

[5]
## PWO2 (PBEsol)

Data for an optimized crystal structure of PWO2.

Cell: 2.7490 2.7490 20.0801 Å, 90.00 90.00 120.00°
With the nearest neighbours (Å) after each atom.
Space group R-3m (No. 166, hexagonal axes)
Asymmetric unit:
P  0.0000  0.0000  0.0000  2 O 1.94
W  0.0000  0.0000  0.5000  6 O 2.12
O  0.0000  0.0000  0.0966  1 P 1.94, 3 W 2.12

Results
Its uncorrected formation energy is -1008 meV/atom. The electronic total energy comes out at -8.53 eV/atom. The value obtained for the density of states at the Fermi level is 1.07 states/eV/f.u.

***

[6]
## P2W2O11 (PBEsol)

Data for an optimized crystal structure of P2W2O11.

Cell: 7.6804 7.8463 6.3603 Å, 90.00 90.00 90.00°
With the nearest neighbours (Å) after each atom.
Space group Pnnm (No. 58)
Asymmetric unit:
P  0.1157  0.2464  0.0000  4 O 1.51-1.56
W  0.1831  0.1586  0.5000  2 O 1.71-1.88
O  0.0000  0.0000  0.5000  2 W 1.88
O  0.0616  0.3406  0.5000  1 W 1.71
O  0.0862  0.7692  0.0000  1 P 1.56
O  0.1700  0.4307  0.0000  1 P 1.51
O  0.1874  0.1466  0.1921  1 P 1.55

Results
For the polymorph energy (0 for the lowest one), the calculation gives 15 meV per atom. Its uncorrected formation energy is -2119 meV/atom. The electronic total energy comes out at -8.58 eV/atom. The value obtained for the density of states at the Fermi level is 0.00 states/eV/f.u.